No. 1
# Tb2Pm4Pr PBE-GGA relaxed
# energy relative to the elements = 0.086 eV per atom
# E above lowest polymorph = 0.00 kcal/mol of atoms
# electronic total energy = -4.635 eV per atom
data_Tb2Pm4Pr
_cell_length_a 3.5803
_cell_length_b 5.8259
_cell_length_c 23.1636
_cell_angle_alpha 90.00
_cell_angle_beta 90.00
_cell_angle_gamma 90.00
_space_group_name_H-M_alt 'I m m m'
_space_group_IT_number 71
_space_group_name_Hall '-I 2 2'
loop_
_atom_site_label
_atom_site_type_symbol
_atom_site_fract_x
_atom_site_fract_y
_atom_site_fract_z
_atom_site_occupancy
Tb1 Tb 0.0000 0.0000 0.2253 1
Pm1 Pm 0.0000 0.5000 0.1381 1
Pm2 Pm 0.0000 0.5000 0.4126 1
Pr1 Pr 0.0000 0.0000 0.5000 1

No. 2
# Tb6Pm2Pr PBE-GGA relaxed
# energy relative to the elements = 0.102 eV per atom
# E above lowest polymorph = 0.00 kcal/mol of atoms
# electronic total energy = -4.572 eV per atom
data_Tb6Pm2Pr
_cell_length_a 16.7763
_cell_length_b 10.3943
_cell_length_c 3.5088
_cell_angle_alpha 90.00
_cell_angle_beta 102.00
_cell_angle_gamma 90.00
_space_group_name_H-M_alt 'C 1 2/m 1'
_space_group_IT_number 12
loop_
_space_group_symop_operation_xyz
'x,y,z'
'-x,-y,-z'
'-x,y,-z'
'x,-y,z'
'x+1/2,y+1/2,z'
'-x+1/2,-y+1/2,-z'
'-x+1/2,y+1/2,-z'
'x+1/2,-y+1/2,z'
loop_
_atom_site_label
_atom_site_type_symbol
_atom_site_fract_x
_atom_site_fract_y
_atom_site_fract_z
_atom_site_occupancy
Tb1 Tb 0.0000 0.1836 0.0000 1
Tb2 Tb 0.1777 0.3328 0.6791 1
Pm1 Pm 0.1580 0.0000 0.6567 1
Pr1 Pr 0.0000 0.5000 0.5000 1

No. 3
# Tb2Pm4Pr5 PBE-GGA relaxed
# energy relative to the elements = 0.134 eV per atom
# E above lowest polymorph = 1.15 kcal/mol of atoms
# electronic total energy = -4.608 eV per atom
data_Tb2Pm4Pr5
_cell_length_a 24.4608
_cell_length_b 3.5290
_cell_length_c 8.9884
_cell_angle_alpha 90.00
_cell_angle_beta 97.02
_cell_angle_gamma 90.00
_space_group_name_H-M_alt 'C 1 2/m 1'
_space_group_IT_number 12
loop_
_space_group_symop_operation_xyz
'x,y,z'
'-x,-y,-z'
'-x,y,-z'
'x,-y,z'
'x+1/2,y+1/2,z'
'-x+1/2,-y+1/2,-z'
'-x+1/2,y+1/2,-z'
'x+1/2,-y+1/2,z'
loop_
_atom_site_label
_atom_site_type_symbol
_atom_site_fract_x
_atom_site_fract_y
_atom_site_fract_z
_atom_site_occupancy
Tb1 Tb 0.0908 0.0000 0.2313 1
Pm1 Pm 0.0454 0.0000 0.8627 1
Pm2 Pm 0.1764 0.5000 0.9718 1
Pr1 Pr 0.0000 0.5000 0.5000 1
Pr2 Pr 0.1399 0.0000 0.6149 1
Pr3 Pr 0.2302 0.0000 0.3209 1

No. 4
# TbPm3Pr3 PBE-GGA relaxed
# energy relative to the elements = 0.029 eV per atom
# E above lowest polymorph = 0.00 kcal/mol of atoms
# electronic total energy = -4.717 eV per atom
data_TbPm3Pr3
_cell_length_a 9.8161
_cell_length_b 9.8161
_cell_length_c 5.9019
_cell_angle_alpha 90.00
_cell_angle_beta 90.00
_cell_angle_gamma 120.00
_space_group_name_H-M_alt 'P 63/m'
_space_group_IT_number 176
_space_group_name_Hall '-P 6c'
loop_
_atom_site_label
_atom_site_type_symbol
_atom_site_fract_x
_atom_site_fract_y
_atom_site_fract_z
_atom_site_occupancy
Tb1 Tb 0.3333 0.6667 0.2500 1
Pm1 Pm 0.0459 0.8082 0.2500 1
Pr1 Pr 0.0949 0.6201 0.7500 1

No. 5
# Tb4PmPr8 PBE-GGA relaxed
# energy relative to the elements = 0.174 eV per atom
# electronic total energy = -4.558 eV per atom
data_Tb4PmPr8
_cell_length_a 12.8233
_cell_length_b 7.3989
_cell_length_c 10.5549
_cell_angle_alpha 90.00
_cell_angle_beta 113.96
_cell_angle_gamma 90.00
_space_group_name_H-M_alt 'C 1 2/m 1'
_space_group_IT_number 12
loop_
_space_group_symop_operation_xyz
'x,y,z'
'-x,-y,-z'
'-x,y,-z'
'x,-y,z'
'x+1/2,y+1/2,z'
'-x+1/2,-y+1/2,-z'
'-x+1/2,y+1/2,-z'
'x+1/2,-y+1/2,z'
loop_
_atom_site_label
_atom_site_type_symbol
_atom_site_fract_x
_atom_site_fract_y
_atom_site_fract_z
_atom_site_occupancy
Tb1 Tb 0.0000 0.0000 0.0000 1
Tb2 Tb 0.0000 0.5000 0.0000 1
Tb3 Tb 0.2500 0.2500 0.0000 1
Pm1 Pm 0.0000 0.0000 0.5000 1
Pr1 Pr 0.0228 0.2746 0.2943 1
Pr2 Pr 0.2143 0.5000 0.6425 1
Pr3 Pr 0.2481 0.5000 0.2944 1

No. 6
# Tb4Pm4Pr3 PBE-GGA relaxed
# energy relative to the elements = 0.132 eV per atom
# E above lowest polymorph = 0.00 kcal/mol of atoms
# electronic total energy = -4.582 eV per atom
data_Tb4Pm4Pr3
_cell_length_a 3.6408
_cell_length_b 9.5284
_cell_length_c 22.2258
_cell_angle_alpha 90.00
_cell_angle_beta 90.00
_cell_angle_gamma 90.00
_space_group_name_H-M_alt 'I m m m'
_space_group_IT_number 71
_space_group_name_Hall '-I 2 2'
loop_
_atom_site_label
_atom_site_type_symbol
_atom_site_fract_x
_atom_site_fract_y
_atom_site_fract_z
_atom_site_occupancy
Tb1 Tb 0.0000 0.0000 0.2414 1
Tb2 Tb 0.0000 0.1826 0.0000 1
Pm1 Pm 0.0000 0.3225 0.1461 1
Pr1 Pr 0.0000 0.0000 0.5000 1
Pr2 Pr 0.0000 0.5000 0.3910 1

No. 7
# Tb3PmPr5 PBE-GGA relaxed
# energy relative to the elements = 0.267 eV per atom
# E above lowest polymorph = 0.00 kcal/mol of atoms
# electronic total energy = -4.460 eV per atom
data_Tb3PmPr5
_cell_length_a 20.5462
_cell_length_b 6.3293
_cell_length_c 11.7093
_cell_angle_alpha 90.00
_cell_angle_beta 122.30
_cell_angle_gamma 90.00
_space_group_name_H-M_alt 'C 1 2/c 1'
_space_group_IT_number 15
loop_
_space_group_symop_operation_xyz
'x,y,z'
'-x,-y,-z'
'-x,y,-z+1/2'
'x,-y,z+1/2'
'x+1/2,y+1/2,z'
'-x+1/2,-y+1/2,-z'
'-x+1/2,y+1/2,-z+1/2'
'x+1/2,-y+1/2,z+1/2'
loop_
_atom_site_label
_atom_site_type_symbol
_atom_site_fract_x
_atom_site_fract_y
_atom_site_fract_z
_atom_site_occupancy
Tb1 Tb 0.0000 0.0000 0.0000 1
Tb2 Tb 0.1765 0.2264 0.0266 1
Pm1 Pm 0.0000 0.1128 0.7500 1
Pr1 Pr 0.0000 0.4035 0.2500 1
Pr2 Pr 0.1410 0.3202 0.6575 1
Pr3 Pr 0.1795 0.1858 0.3347 1

No. 8
# Tb7PmPr2 PBE-GGA relaxed
# energy relative to the elements = 0.159 eV per atom
# E above lowest polymorph = 2.54 kcal/mol of atoms
# electronic total energy = -4.513 eV per atom
data_Tb7PmPr2
_cell_length_a 6.5900
_cell_length_b 29.1320
_cell_length_c 3.5169
_cell_angle_alpha 90.00
_cell_angle_beta 90.00
_cell_angle_gamma 90.00
_space_group_name_H-M_alt 'C m m m'
_space_group_IT_number 65
_space_group_name_Hall '-C 2 2'
loop_
_atom_site_label
_atom_site_type_symbol
_atom_site_fract_x
_atom_site_fract_y
_atom_site_fract_z
_atom_site_occupancy
Tb1 Tb 0.0000 0.0000 0.0000 1
Tb2 Tb 0.0000 0.3143 0.5000 1
Tb3 Tb 0.2468 0.4016 0.0000 1
Pm1 Pm 0.0000 0.5000 0.5000 1
Pr1 Pr 0.0000 0.2062 0.0000 1

No. 9
# Tb6Pm6Pr PBE-GGA relaxed
# energy relative to the elements = 0.214 eV per atom
# electronic total energy = -4.483 eV per atom
data_Tb6Pm6Pr
_cell_length_a 6.6310
_cell_length_b 11.3278
_cell_length_c 6.6320
_cell_angle_alpha 90.00
_cell_angle_beta 115.41
_cell_angle_gamma 90.00
_space_group_name_H-M_alt 'P 1 2/m 1'
_space_group_IT_number 10
loop_
_space_group_symop_operation_xyz
'x,y,z'
'-x,-y,-z'
'-x,y,-z'
'x,-y,z'
loop_
_atom_site_label
_atom_site_type_symbol
_atom_site_fract_x
_atom_site_fract_y
_atom_site_fract_z
_atom_site_occupancy
Tb1 Tb 0.0000 0.2004 0.0000 1
Tb2 Tb 0.0000 0.2740 0.5000 1
Tb3 Tb 0.5000 0.2736 0.0000 1
Pm1 Pm 0.1435 0.5000 0.8580 1
Pm2 Pm 0.2302 0.0000 0.7696 1
Pm3 Pm 0.5000 0.1642 0.5000 1
Pr1 Pr 0.5000 0.5000 0.5000 1

No. 10
# Tb7Pm3Pr PBE-GGA relaxed
# energy relative to the elements = 0.180 eV per atom
# E above lowest polymorph = 1.01 kcal/mol of atoms
# electronic total energy = -4.496 eV per atom
data_Tb7Pm3Pr
_cell_length_a 7.1220
_cell_length_b 7.1220
_cell_length_c 8.7323
_cell_angle_alpha 90.00
_cell_angle_beta 90.00
_cell_angle_gamma 120.00
_space_group_name_H-M_alt 'P 3 m 1'
_space_group_IT_number 156
loop_
_space_group_symop_operation_xyz
'x,y,z'
'-y,x-y,z'
'-x+y,-x,z'
'-y,-x,z'
'-x+y,y,z'
'x,x-y,z'
loop_
_atom_site_label
_atom_site_type_symbol
_atom_site_fract_x
_atom_site_fract_y
_atom_site_fract_z
_atom_site_occupancy
Tb1 Tb 0.0000 0.0000 0.0000 1
Tb2 Tb 0.1656 0.3312 0.3249 1
Tb3 Tb 0.5006 0.0012 0.9961 1
Pm1 Pm 0.3324 0.1662 0.6626 1
Pr1 Pr 0.6667 0.3333 0.3229 1